# 1
Entry from the Alexandria database: a crystal of SrY2Tl relaxed with PBEsol (meta-GGA SCAN).

Summary:
The space group is Immm (71). The value obtained for the formation energy is -0.281 eV/atom. For the density of states at the Fermi level, the calculation gives 0.92 states/eV/atom.

abc: 3.7761 5.6454 6.9140
angles: 114.10 105.85 90.00
Closest atoms and distances in Å follow each position.
Fractional coordinates of all 4 atoms:
Y1 0.7121 0.7121 0.4243  2 Tl 3.18, 4 Y 3.52
Y2 0.2879 0.2879 0.5757  2 Tl 3.18, 4 Y 3.52
Tl1 0.0000 0.5000 0.0000  4 Y 3.18, 4 Sr 3.40
Sr1 0.5000 0.0000 0.0000  4 Tl 3.40, 2 Sr 3.78


# 2
Entry from the Alexandria database: a crystal of SrYTl relaxed with PBEsol (meta-GGA SCAN).

Summary:
The space group is Pnma (62). The value obtained for the formation energy is -0.536 eV/atom.

abc: 5.1637 8.3262 9.0603
angles: 90.00 90.00 90.00
Closest atoms and distances in Å follow each position.
Fractional coordinates of all 12 atoms:
Tl1 0.2500 0.2811 0.1012  4 Y 3.09-3.11, 1 Sr 3.38
Sr1 0.7500 0.9835 0.1811  5 Tl 3.38-3.66, 3 Y 3.65-3.78
Sr2 0.2500 0.0165 0.8189  5 Tl 3.38-3.66, 3 Y 3.65-3.78
Y1 0.2500 0.1510 0.4208  4 Tl 3.09-3.11
Tl2 0.2500 0.7811 0.3988  4 Y 3.09-3.11, 1 Sr 3.38
Y2 0.7500 0.8490 0.5792  4 Tl 3.09-3.11
Sr3 0.7500 0.4835 0.3189  5 Tl 3.38-3.66, 3 Y 3.65-3.78
Tl3 0.7500 0.2189 0.6012  4 Y 3.09-3.11, 1 Sr 3.38
Y3 0.7500 0.3490 0.9208  4 Tl 3.09-3.11
Sr4 0.2500 0.5165 0.6811  5 Tl 3.38-3.66, 3 Y 3.65-3.78
Tl4 0.7500 0.7189 0.8988  4 Y 3.09-3.11, 1 Sr 3.38
Y4 0.2500 0.6510 0.0792  4 Tl 3.09-3.11


# 3
Entry from the Alexandria database: a crystal of SrY2Tl relaxed with PBEsol (meta-GGA SCAN).

Summary:
The space group is Pmm2 (25). The value obtained for the formation energy is -0.184 eV/atom. For the density of states at the Fermi level, the calculation gives 0.83 states/eV/atom.

abc: 3.6555 4.7774 7.1220
angles: 90.00 90.00 90.00
Closest atoms and distances in Å follow each position.
Fractional coordinates of all 4 atoms:
Y1 0.5000 0.5000 0.2153  1 Tl 3.15, 4 Y 3.40
Tl1 0.5000 0.5000 0.7731  5 Y 3.15-3.39, 4 Sr 3.51
Y2 0.0000 0.0000 0.9918  2 Sr 3.36-3.76, 4 Tl 3.39, 6 Y 3.40-3.66
Sr1 0.0000 0.0000 0.5198  6 Y 3.36-3.76, 4 Tl 3.51, 2 Sr 3.66


Repeat the third record exactly.
Entry from the Alexandria database: a crystal of SrY2Tl relaxed with PBEsol (meta-GGA SCAN).

Summary:
The space group is Pmm2 (25). The value obtained for the formation energy is -0.184 eV/atom. For the density of states at the Fermi level, the calculation gives 0.83 states/eV/atom.

abc: 3.6555 4.7774 7.1220
angles: 90.00 90.00 90.00
Closest atoms and distances in Å follow each position.
Fractional coordinates of all 4 atoms:
Y1 0.5000 0.5000 0.2153  1 Tl 3.15, 4 Y 3.40
Tl1 0.5000 0.5000 0.7731  5 Y 3.15-3.39, 4 Sr 3.51
Y2 0.0000 0.0000 0.9918  2 Sr 3.36-3.76, 4 Tl 3.39, 6 Y 3.40-3.66
Sr1 0.0000 0.0000 0.5198  6 Y 3.36-3.76, 4 Tl 3.51, 2 Sr 3.66